The following is a DFT calculation (GGA-PBEsol) of an optimized crystal structure of FeIr5.

Results
As for the total moment: 0.412 μB per atom. The total energy comes out at -58.04 eV/f.u. For the density, the calculation gives 20.57 Mg/m³. As for the density of states at the Fermi level: 1.05 states/eV/atom. The calculation puts the formation energy at 7 meV per atom.

Lattice parameters (Å, degrees): 4.3294 7.1207 7.1207 21.96 90.00 90.00
Last column: nearest neighbours and their distance in Å.
Element x y z (fractional)
Fe (0.0000, 0.0000, 0.0000)  10 Ir 2.63-2.67, 2 Fe 2.71
Ir (0.0000, 0.3352, 0.3352)  10 Ir 2.65-2.78, 2 Fe 2.67
Ir (0.0000, 0.6620, 0.6620)  2 Fe 2.64, 10 Ir 2.67-2.78
Ir (0.5000, 0.1072, 0.1072)  2 Fe 2.63, 10 Ir 2.64-2.74
Ir (0.5000, 0.4451, 0.4451)  8 Ir 2.64-2.71, 4 Fe 2.67
Ir (0.5000, 0.7776, 0.7776)  12 Ir 2.68-2.74